[1]
First-principles (PBE-GGA) data for a relaxed structure of InSiTc2, as listed in Alexandria via LeMat-Bulk.

The structure in POSCAR format:
```
InSiTc2
1.0
-1.5164 1.5659 -3.9098
2.2640 -0.8274 -3.7720
-1.6761 -2.8229 -3.0430
Si In Tc
1 1 2
direct
0.7500 0.7500 0.7500
0.5000 0.5000 0.5000
0.0000 0.0000 0.0000
0.2500 0.2500 0.2500
```

Summary:
DFT total energy: -6.794 eV/atom
DOS(E_F): 5.75 states/eV per cell
SG: F-43m (216)
Magnetic moment: 0.236 μB per cell
Crystal system: cubic
ΔE_f (raw): 41 kJ/mol of atoms
Distance to the lowest polymorph of the same formula: 0.516 eV/atom

[2]
First-principles (PBE-GGA) data for a relaxed structure of HfH2Se2, as listed in Alexandria via LeMat-Bulk.

The structure in POSCAR format:
```
HfH2Se2
1.0
3.7085 -0.0302 0.6075
1.8279 3.2269 0.6075
3.8079 2.1987 10.0801
Se H Hf
2 2 1
direct
0.4990 0.4990 0.8264
0.5010 0.5010 0.1736
0.5147 0.5147 0.5285
0.4853 0.4853 0.4715
0.0000 0.0000 0.0000
```

Summary:
DFT total energy: -5.549 eV/atom
SG: C2/m (12)
Magnetic moment: 0.000 μB per cell
Crystal system: monoclinic
Distance to the lowest polymorph of the same formula: 0.000 eV/atom

[3]
First-principles (PBE-GGA) data for a relaxed structure of PmNpSbRh, as listed in Alexandria via LeMat-Bulk.

The structure in POSCAR format:
```
PmNpSbRh
1.0
5.0576 0.0000 0.0000
2.5288 4.3800 0.0000
2.5288 1.4600 4.1295
Rh Sb Np Pm
1 1 1 1
direct
0.5000 0.5000 0.5000
0.2500 0.2500 0.2500
0.0000 0.0000 0.0000
0.7500 0.7500 0.7500
```

Summary:
DFT total energy: -7.297 eV/atom
DOS(E_F): 13.71 states/eV per cell
SG: F-43m (216)
Magnetic moment: 5.610 μB per cell
Crystal system: cubic
ΔE_f (raw): -1 kJ/mol of atoms

[4]
First-principles (PBE-GGA) data for a relaxed structure of GaWN, as listed in Alexandria via LeMat-Bulk.

The structure in POSCAR format:
```
GaWN
1.0
2.8708 0.0000 0.0000
-1.4354 2.4862 0.0000
0.0000 0.0000 5.1322
N W Ga
1 1 1
direct
0.0000 0.0000 0.0161
0.6667 0.3333 0.2766
0.3333 0.6667 0.7073
```

Summary:
DFT total energy: -8.151 eV/atom
DOS(E_F): 0.15 states/eV per cell
SG: P3m1 (156)
Magnetic moment: 0.000 μB per cell
Crystal system: trigonal
ΔE_f (raw): -5 kJ/mol of atoms
Distance to the lowest polymorph of the same formula: 0.000 eV/atom

[5]
First-principles (PBE-GGA) data for a relaxed structure of Ca2LaPr3Te6, as listed in Alexandria via LeMat-Bulk.

The structure in POSCAR format:
```
Ca2LaPr3Te6
1.0
-4.5107 2.1090 6.0081
0.7015 -7.5364 -1.8980
7.1334 1.1981 3.2411
Te Pr Ca La
6 3 2 1
direct
0.7415 0.7415 0.2444
0.4213 0.0820 0.2453
0.5787 0.9180 0.7547
0.2585 0.2585 0.7556
0.0820 0.4213 0.2453
0.9180 0.5787 0.7547
0.5000 0.5000 0.5000
0.1653 0.8347 0.5000
0.8347 0.1653 0.5000
0.6677 0.3323 0.0000
0.3323 0.6677 0.0000
0.0000 0.0000 0.0000
```

Summary:
DFT total energy: -5.027 eV/atom
DOS(E_F): 6.68 states/eV per cell
SG: C2/m (12)
Magnetic moment: 0.000 μB per cell
Crystal system: monoclinic
ΔE_f (raw): -146 kJ/mol of atoms

[6]
First-principles (PBE-GGA) data for a relaxed structure of ScBeZn2C, as listed in Alexandria via LeMat-Bulk.

The structure in POSCAR format:
```
ScBeZn2C
1.0
-1.3189 4.4076 0.3706
0.0783 -0.2605 3.3770
4.4218 1.3232 -0.0004
C Zn Sc Be
1 2 1 1
direct
0.0000 0.5000 0.0000
0.5000 0.0000 0.0000
0.0000 0.0000 0.5000
0.5000 0.5000 0.5000
0.0000 0.0000 0.0000
```

Summary:
DFT total energy: -3.852 eV/atom
DOS(E_F): 1.38 states/eV per cell
SG: P4/mmm (123)
Magnetic moment: 0.000 μB per cell
Energy of formation: 11.85 kcal/mol of atoms
Crystal system: tetragonal

[7]
First-principles (PBE-GGA) data for a relaxed structure of SrSiSe4, as listed in Alexandria via LeMat-Bulk.

The structure in POSCAR format:
```
SrSiSe4
1.0
0.0000 4.1464 4.1464
4.1464 0.0000 4.1464
4.1464 4.1464 0.0000
Se Si Sr
4 1 1
direct
0.8737 0.3754 0.3754
0.3754 0.3754 0.8737
0.3754 0.3754 0.3754
0.3754 0.8737 0.3754
0.7500 0.7500 0.7500
0.0000 0.0000 0.0000
```

Summary:
DFT total energy: -3.390 eV/atom
DOS(E_F): 4.87 states/eV per cell
SG: F-43m (216)
Magnetic moment: 0.762 μB per cell
Crystal system: cubic
ΔE_f (raw): 11 kJ/mol of atoms